# PuH2Br

A geometry-optimized PuH2Br structure (GGA-PBE, Alexandria).

abc: 3.8012 5.7903 5.4486
angles: 90.00 90.00 90.00
Last column: nearest neighbours and their distance in Å.
Positions (direct):
1 Pu 0.2500 0.2500 0.1513  6 H 2.20-2.24
2 Pu 0.7500 0.7500 0.8487  6 H 2.20-2.24
3 H 0.2500 0.5527 0.9060  3 Pu 2.20-2.24, 3 H 2.24-2.29
4 H 0.2500 0.9473 0.9060  3 Pu 2.20-2.24, 3 H 2.24-2.29
5 H 0.7500 0.0527 0.0940  3 Pu 2.20-2.24, 3 H 2.24-2.29
6 H 0.7500 0.4473 0.0940  3 Pu 2.20-2.24, 3 H 2.24-2.29
7 Br 0.2500 0.7500 0.3992  8 H 2.92-3.07, 4 Pu 3.10-3.19
8 Br 0.7500 0.2500 0.6008  8 H 2.92-3.07, 4 Pu 3.10-3.19

* volume: 14.99 Å³ per atom
* mass density: 9.03 Mg/m³
* magnetization: 10.000 μB per cell
* DOS(E_F): 13.046 states/eV/cell
* E_tot: -0.47066 Ry per atom
* relative energy among the computed polymorphs: 0.00 eV per formula unit